# 1
Crystalline Ba2Ir at its relaxed geometry, computed with PBE-GGA.

The electronic total energy is -0.157 hartree per atom. The calculation puts the calculated volume at 42.04 A^3/atom. The value obtained for the energy relative to the elements is -0.037 eV per atom.

It has space group Pnnm (No. 58), with a = 7.3037 Å, b = 7.3064 Å, c = 4.7271 Å, α = 90.00°, β = 90.00° and γ = 90.00°. The distinct sites, in fractional coordinates, are Ba at (0.1783, 0.2133, 0.0000) and Ir at (0.0000, 0.0000, 0.5000).

# 2
Crystalline Ba2Ir at its relaxed geometry, computed with PBE-GGA.

The electronic total energy is -0.157 hartree per atom. The calculation puts the calculated volume at 45.00 A^3/atom. The value obtained for the energy relative to the elements is -0.049 eV per atom.

It has space group P-3m1 (No. 164), with a = 4.5801 Å, b = 4.5801 Å, c = 7.4304 Å, α = 90.00°, β = 90.00° and γ = 120.00°. The distinct sites, in fractional coordinates, are Ba at (0.3333, 0.6667, 0.2837) and Ir at (0.0000, 0.0000, 0.5000).

> Which of these has the highest energy relative to the elements?

number 1

> Among the records above, which one has the highest energy relative to the elements?

number 1

> Which value of calculated volume does entry 2 give?

45.00 A^3/atom